1.
Compound: AgPIr2
Source: Alexandria
Functional: GGA-PBE
Structure: optimized geometry

```
AgPIr2
1.0
2.893 0.000 0.000
0.000 4.944 0.000
0.000 0.000 8.638
Ag P Ir
2 2 4
Direct
0.000 0.000 0.000
0.500 0.500 0.000
0.000 0.000 0.500
0.500 0.500 0.500
0.000 0.500 0.289
0.000 0.500 0.711
0.500 0.000 0.289
0.500 0.000 0.711
```

formation energy from the elements = 0.25 eV per atom
crystal system = orthorhombic

***

2.
Compound: Ag2PIr
Source: Alexandria
Functional: GGA-PBE
Structure: optimized geometry

```
Ag2PIr
1.0
2.886 0.000 0.000
0.000 4.880 0.000
0.000 0.000 9.550
Ag P Ir
4 2 2
Direct
0.000 0.000 0.000
0.000 0.500 0.263
0.500 0.000 0.263
0.500 0.500 0.000
0.000 0.000 0.546
0.500 0.500 0.546
0.000 0.500 0.738
0.500 0.000 0.738
```

formation energy from the elements = 0.22 eV per atom
crystal system = orthorhombic

***

3.
Compound: AgPIr2
Source: Alexandria
Functional: GGA-PBE
Structure: optimized geometry

```
AgPIr2
1.0
2.791 0.000 0.000
0.000 3.751 0.000
0.000 0.000 6.078
Ag P Ir
1 1 2
Direct
0.000 0.000 0.000
0.500 0.500 0.654
0.000 0.000 0.520
0.500 0.500 0.269
```

formation energy from the elements = 0.25 eV per atom
crystal system = orthorhombic

***

4.
Compound: Ag2PIr
Source: Alexandria
Functional: GGA-PBE
Structure: optimized geometry

```
Ag2PIr
1.0
2.971 0.000 0.000
-1.485 2.573 0.000
0.000 0.000 26.242
Ag P Ir
6 3 3
Direct
0.000 0.000 0.000
0.000 0.000 0.242
0.333 0.667 0.667
0.333 0.667 0.909
0.667 0.333 0.333
0.667 0.333 0.575
0.000 0.000 0.484
0.333 0.667 0.151
0.667 0.333 0.817
0.000 0.000 0.757
0.333 0.667 0.424
0.667 0.333 0.091
```

formation energy from the elements = 0.05 eV per atom
crystal system = trigonal

***

5.
Compound: Ag2PIr
Source: Alexandria
Functional: GGA-PBE
Structure: optimized geometry

```
Ag2PIr
1.0
2.923 0.000 0.000
0.000 2.923 0.000
0.000 0.000 7.777
Ag P Ir
2 1 1
Direct
0.000 0.000 0.000
0.500 0.500 0.268
0.500 0.500 0.705
0.000 0.000 0.547
```

formation energy from the elements = 0.00 eV per atom
crystal system = tetragonal

***

6.
Compound: AgPIr2
Source: Alexandria
Functional: GGA-PBE
Structure: optimized geometry

```
AgPIr2
1.0
2.859 0.000 0.000
-1.429 2.476 0.000
0.000 0.000 26.024
Ag P Ir
3 3 6
Direct
0.000 0.000 0.000
0.333 0.667 0.667
0.667 0.333 0.333
0.000 0.000 0.756
0.333 0.667 0.423
0.667 0.333 0.090
0.000 0.000 0.242
0.000 0.000 0.489
0.333 0.667 0.155
0.333 0.667 0.909
0.667 0.333 0.576
0.667 0.333 0.822
```

formation energy from the elements = 0.19 eV per atom
crystal system = trigonal

***

7.
Compound: AgPIr2
Source: Alexandria
Functional: GGA-PBE
Structure: optimized geometry

```
AgPIr2
1.0
6.257 0.000 0.000
0.000 6.257 0.000
0.000 0.000 6.257
Ag P Ir
4 4 8
Direct
0.000 0.000 0.000
0.000 0.500 0.500
0.500 0.000 0.500
0.500 0.500 0.000
0.250 0.250 0.750
0.250 0.750 0.250
0.750 0.250 0.250
0.750 0.750 0.750
0.000 0.000 0.500
0.000 0.500 0.000
0.250 0.250 0.250
0.250 0.750 0.750
0.500 0.000 0.000
0.500 0.500 0.500
0.750 0.250 0.750
0.750 0.750 0.250
```

formation energy from the elements = 0.58 eV per atom
crystal system = cubic

***

8.
Compound: AgPIr3
Source: Alexandria
Functional: GGA-PBE
Structure: optimized geometry

```
AgPIr3
1.0
4.409 0.000 0.000
0.000 4.409 0.000
0.000 0.000 4.409
Ag P Ir
1 1 3
Direct
0.000 0.000 0.000
0.500 0.500 0.500
0.000 0.500 0.500
0.500 0.000 0.500
0.500 0.500 0.000
```

ΔE to the lowest computed polymorph = 0 meV/atom
formation energy from the elements = 0.53 eV per atom
crystal system = cubic

***

9.
Compound: Ag2PIr2
Source: Alexandria
Functional: GGA-PBE
Structure: optimized geometry

```
Ag2PIr2
1.0
5.931 0.000 0.000
0.000 5.931 0.000
0.000 0.000 4.803
Ag P Ir
4 2 4
Direct
0.166 0.334 0.000
0.334 0.834 0.000
0.666 0.166 0.000
0.834 0.666 0.000
0.000 0.000 0.500
0.500 0.500 0.500
0.152 0.652 0.500
0.348 0.152 0.500
0.652 0.848 0.500
0.848 0.348 0.500
```

ΔE to the lowest computed polymorph = 0 meV/atom
formation energy from the elements = -0.01 eV per atom
crystal system = tetragonal

***

10.
Compound: Ag2PIr
Source: Alexandria
Functional: GGA-PBE
Structure: optimized geometry

```
Ag2PIr
1.0
2.758 0.000 0.000
0.000 2.758 0.000
0.000 0.000 8.631
Ag P Ir
2 1 1
Direct
0.000 0.000 0.249
0.000 0.000 0.751
0.500 0.500 0.500
0.500 0.500 0.000
```

formation energy from the elements = 0.52 eV per atom
crystal system = tetragonal

***

11.
Compound: AgPIr2
Source: Alexandria
Functional: GGA-PBE
Structure: optimized geometry

```
AgPIr2
1.0
2.879 0.000 0.000
-1.440 2.494 0.000
0.000 0.000 25.011
Ag P Ir
3 3 6
Direct
0.000 0.000 0.000
0.333 0.667 0.667
0.667 0.333 0.333
0.000 0.000 0.500
0.333 0.667 0.167
0.667 0.333 0.833
0.000 0.000 0.235
0.000 0.000 0.765
0.333 0.667 0.432
0.333 0.667 0.902
0.667 0.333 0.098
0.667 0.333 0.568
```

formation energy from the elements = -0.02 eV per atom
crystal system = trigonal

***

12.
Compound: Ag2PIr
Source: Alexandria
Functional: GGA-PBE
Structure: optimized geometry

```
Ag2PIr
1.0
6.342 0.000 0.000
0.000 6.342 0.000
0.000 0.000 6.342
Ag P Ir
8 4 4
Direct
0.000 0.000 0.000
0.000 0.500 0.500
0.250 0.250 0.250
0.250 0.750 0.750
0.500 0.000 0.500
0.500 0.500 0.000
0.750 0.250 0.750
0.750 0.750 0.250
0.000 0.000 0.500
0.000 0.500 0.000
0.500 0.000 0.000
0.500 0.500 0.500
0.250 0.250 0.750
0.250 0.750 0.250
0.750 0.250 0.250
0.750 0.750 0.750
```

formation energy from the elements = 0.44 eV per atom
crystal system = cubic

***

13.
Compound: AgPIr2
Source: Alexandria
Functional: GGA-PBE
Structure: optimized geometry

```
AgPIr2
1.0
3.970 0.000 0.000
0.000 3.970 0.000
0.000 0.000 7.681
Ag P Ir
2 2 4
Direct
0.000 0.000 0.000
0.500 0.500 0.500
0.000 0.500 0.250
0.500 0.000 0.750
0.000 0.000 0.500
0.000 0.500 0.750
0.500 0.000 0.250
0.500 0.500 0.000
```

formation energy from the elements = 0.58 eV per atom
crystal system = tetragonal

***

14.
Compound: AgPIr
Source: Alexandria
Functional: GGA-PBE
Structure: optimized geometry

```
AgPIr
1.0
5.795 0.000 0.000
0.000 5.795 0.000
0.000 0.000 5.795
Ag P Ir
4 4 4
Direct
0.000 0.000 0.000
0.000 0.500 0.500
0.500 0.000 0.500
0.500 0.500 0.000
0.250 0.250 0.750
0.250 0.750 0.250
0.750 0.250 0.250
0.750 0.750 0.750
0.000 0.000 0.500
0.000 0.500 0.000
0.500 0.000 0.000
0.500 0.500 0.500
```

ΔE to the lowest computed polymorph = 255 meV/atom
formation energy from the elements = 0.21 eV per atom
crystal system = cubic

***

15.
Compound: AgPIr2
Source: Alexandria
Functional: GGA-PBE
Structure: optimized geometry

```
AgPIr2
1.0
2.889 0.000 0.000
0.000 4.678 0.000
0.000 0.000 8.965
Ag P Ir
2 2 4
Direct
0.000 0.000 0.000
0.500 0.500 0.500
0.000 0.000 0.500
0.500 0.500 0.000
0.000 0.500 0.203
0.000 0.500 0.797
0.500 0.000 0.297
0.500 0.000 0.703
```

formation energy from the elements = 0.14 eV per atom
crystal system = orthorhombic

***

16.
Compound: AgPIr2
Source: Alexandria
Functional: GGA-PBE
Structure: optimized geometry

```
AgPIr2
1.0
5.800 0.000 0.000
0.000 6.882 0.000
0.000 0.000 2.973
Ag P Ir
2 2 4
Direct
0.000 0.000 0.000
0.500 0.500 0.000
0.000 0.500 0.000
0.500 0.000 0.000
0.250 0.250 0.500
0.250 0.750 0.500
0.750 0.250 0.500
0.750 0.750 0.500
```

formation energy from the elements = 0.49 eV per atom
crystal system = orthorhombic

***

17.
Compound: Ag2PIr
Source: Alexandria
Functional: GGA-PBE
Structure: optimized geometry

```
Ag2PIr
1.0
8.280 0.000 0.000
0.000 8.280 0.000
0.000 0.000 4.472
Ag P Ir
8 4 4
Direct
0.158 0.250 0.125
0.250 0.658 0.375
0.250 0.842 0.875
0.342 0.250 0.625
0.658 0.750 0.625
0.750 0.158 0.875
0.750 0.342 0.375
0.842 0.750 0.125
0.000 0.000 0.000
0.000 0.500 0.250
0.500 0.000 0.750
0.500 0.500 0.500
0.000 0.000 0.500
0.000 0.500 0.750
0.500 0.000 0.250
0.500 0.500 0.000
```

formation energy from the elements = 0.45 eV per atom
crystal system = tetragonal

***

18.
Compound: AgPIr
Source: Alexandria
Functional: GGA-PBE
Structure: optimized geometry

```
AgPIr
1.0
3.930 0.000 0.000
-1.965 3.403 0.000
0.000 0.000 3.737
Ag P Ir
1 1 1
Direct
0.000 0.000 0.000
0.333 0.667 0.500
0.667 0.333 0.500
```

ΔE to the lowest computed polymorph = 25 meV/atom
formation energy from the elements = -0.02 eV per atom
crystal system = hexagonal

***

19.
Compound: Ag2PIr2
Source: Alexandria
Functional: GGA-PBE
Structure: optimized geometry

```
Ag2PIr2
1.0
3.497 0.000 0.000
0.000 3.497 0.000
0.000 0.000 15.176
Ag P Ir
4 2 4
Direct
0.000 0.000 0.094
0.000 0.000 0.906
0.500 0.500 0.406
0.500 0.500 0.594
0.000 0.000 0.500
0.500 0.500 0.000
0.000 0.500 0.250
0.000 0.500 0.750
0.500 0.000 0.250
0.500 0.000 0.750
```

ΔE to the lowest computed polymorph = 821 meV/atom
formation energy from the elements = 0.81 eV per atom
crystal system = tetragonal

***

20.
Compound: Ag2PIrPd
Source: Alexandria
Functional: GGA-PBE
Structure: optimized geometry

```
Ag2PIrPd
1.0
5.063 0.000 0.000
0.000 5.063 0.000
0.000 0.000 4.722
Ag P Ir Pd
2 1 1 1
Direct
0.000 0.500 0.000
0.500 0.000 0.000
0.000 0.000 0.500
0.500 0.500 0.000
0.500 0.500 0.500
```

formation energy from the elements = 1.49 eV per atom
crystal system = tetragonal

***

21.
Compound: AgPIrPd2
Source: Alexandria
Functional: GGA-PBE
Structure: optimized geometry

```
AgPIrPd2
1.0
5.024 0.000 0.000
0.000 5.024 0.000
0.000 0.000 4.295
Ag P Ir Pd
1 1 1 2
Direct
0.000 0.000 0.000
0.500 0.500 0.000
0.500 0.500 0.500
0.000 0.500 0.500
0.500 0.000 0.500
```

formation energy from the elements = 0.69 eV per atom
crystal system = tetragonal

***

22.
Compound: AgPIrS2
Source: Alexandria
Functional: GGA-PBE
Structure: optimized geometry

```
AgPIrS2
1.0
4.901 0.000 0.000
0.000 4.901 0.000
0.000 0.000 4.386
Ag P Ir S
1 1 1 2
Direct
0.000 0.000 0.000
0.500 0.500 0.000
0.500 0.500 0.500
0.000 0.500 0.500
0.500 0.000 0.500
```

ΔE to the lowest computed polymorph = 0 meV/atom
formation energy without anion corrections = 0.64 eV per atom
crystal system = tetragonal

***

23.
Compound: AgPIrS2
Source: Alexandria
Functional: GGA-PBE
Structure: optimized geometry

```
AgPIrS2
1.0
4.696 0.000 0.000
0.000 4.696 0.000
0.000 0.000 4.676
Ag P Ir S
1 1 1 2
Direct
0.000 0.000 0.000
0.000 0.000 0.500
0.500 0.500 0.500
0.000 0.500 0.000
0.500 0.000 0.000
```

ΔE to the lowest computed polymorph = 1032 meV/atom
formation energy without anion corrections = 1.67 eV per atom
crystal system = tetragonal

***

24.
Compound: AgSbP2Ir
Source: Alexandria
Functional: GGA-PBE
Structure: optimized geometry

```
AgSbP2Ir
1.0
4.623 0.000 0.000
0.000 4.623 0.000
0.000 0.000 5.277
Ag Sb P Ir
1 1 2 1
Direct
0.000 0.000 0.000
0.000 0.000 0.500
0.000 0.500 0.000
0.500 0.000 0.000
0.500 0.500 0.500
```

formation energy without anion corrections = 1.55 eV per atom
crystal system = tetragonal

***

25.
Compound: Ag2PIrSe
Source: Alexandria
Functional: GGA-PBE
Structure: optimized geometry

```
Ag2PIrSe
1.0
4.557 0.000 0.000
0.000 4.557 0.000
0.000 0.000 4.931
Ag P Ir Se
2 1 1 1
Direct
0.000 0.500 0.000
0.500 0.000 0.000
0.000 0.000 0.000
0.500 0.500 0.500
0.000 0.000 0.500
```

formation energy without anion corrections = 1.10 eV per atom
crystal system = tetragonal

***

26.
Compound: PaAgIr4
Source: Alexandria
Functional: GGA-PBE
Structure: optimized geometry

```
PaAgIr4
1.0
0.000 3.743 3.743
3.743 0.000 3.743
3.743 3.743 0.000
Pa Ag Ir
1 1 4
Direct
0.000 0.000 0.000
0.750 0.750 0.750
0.376 0.376 0.376
0.376 0.376 0.873
0.376 0.873 0.376
0.873 0.376 0.376
```

formation energy from the elements = -0.38 eV per atom
crystal system = cubic

***

27.
Compound: Pa2AgIr
Source: Alexandria
Functional: GGA-PBE
Structure: optimized geometry

```
Pa2AgIr
1.0
3.061 0.000 0.000
-1.531 2.651 0.000
0.000 0.000 32.749
Pa Ag Ir
6 3 3
Direct
0.000 0.000 0.094
0.000 0.000 0.906
0.333 0.667 0.573
0.333 0.667 0.761
0.667 0.333 0.239
0.667 0.333 0.427
0.000 0.000 0.000
0.333 0.667 0.667
0.667 0.333 0.333
0.000 0.000 0.500
0.333 0.667 0.167
0.667 0.333 0.833
```

formation energy from the elements = 0.15 eV per atom
crystal system = trigonal

***

28.
Compound: PaAgIr
Source: Alexandria
Functional: GGA-PBE
Structure: optimized geometry

```
PaAgIr
1.0
6.855 0.000 0.000
0.000 5.210 0.000
-2.374 0.000 7.271
Pa Ag Ir
4 4 4
Direct
0.124 0.000 0.315
0.376 0.500 0.685
0.624 0.500 0.315
0.876 0.000 0.685
0.204 0.500 0.035
0.296 0.000 0.965
0.704 0.000 0.035
0.796 0.500 0.965
0.069 0.500 0.345
0.431 0.000 0.655
0.569 0.000 0.345
0.931 0.500 0.655
```

formation energy from the elements = -0.29 eV per atom
crystal system = monoclinic

***

29.
Compound: PmPaAgIr
Source: Alexandria
Functional: GGA-PBE
Structure: optimized geometry

```
PmPaAgIr
1.0
7.132 0.000 0.000
0.000 7.132 0.000
0.000 0.000 7.132
Pm Pa Ag Ir
4 4 4 4
Direct
0.000 0.000 0.000
0.000 0.500 0.500
0.500 0.000 0.500
0.500 0.500 0.000
0.000 0.000 0.500
0.000 0.500 0.000
0.500 0.000 0.000
0.500 0.500 0.500
0.250 0.250 0.750
0.250 0.750 0.250
0.750 0.250 0.250
0.750 0.750 0.750
0.250 0.250 0.250
0.250 0.750 0.750
0.750 0.250 0.750
0.750 0.750 0.250
```

formation energy from the elements = -0.24 eV per atom
crystal system = cubic

***

30.
Compound: ScPaAgIr
Source: Alexandria
Functional: GGA-PBE
Structure: optimized geometry

```
ScPaAgIr
1.0
6.903 0.000 0.000
0.000 6.903 0.000
0.000 0.000 6.903
Sc Pa Ag Ir
4 4 4 4
Direct
0.000 0.000 0.000
0.000 0.500 0.500
0.500 0.000 0.500
0.500 0.500 0.000
0.000 0.000 0.500
0.000 0.500 0.000
0.500 0.000 0.000
0.500 0.500 0.500
0.250 0.250 0.250
0.250 0.750 0.750
0.750 0.250 0.750
0.750 0.750 0.250
0.250 0.250 0.750
0.250 0.750 0.250
0.750 0.250 0.250
0.750 0.750 0.750
```

formation energy from the elements = -0.32 eV per atom
crystal system = cubic